The following is a DFT calculation (PBE) of a relaxed HoAlZn crystal.

Structure (POSCAR):
```
HoAlZn
1.0
4.484 0.000 0.000
-2.242 3.883 0.000
0.000 0.000 3.517
Ho Al Zn
1 1 1
Direct
0.000 0.000 0.000
0.667 0.333 0.500
0.333 0.667 0.500
```

Values from the calculation:
Space group: P-6m2 (187)
DFT total energy: -3.6579 eV/atom
Energy relative to the elements: -0.46 eV per atom
Magnetization: 0.000 μB/f.u.

=====

The following is a DFT calculation (PBE) of a relaxed Ho3AlZn4 crystal.

Structure (POSCAR):
```
Ho3AlZn4
1.0
-1.792 3.076 8.202
1.792 -3.076 8.202
1.792 3.076 -8.202
Ho Al Zn
3 1 4
Direct
0.000 0.000 0.000
0.282 0.782 0.500
0.718 0.218 0.500
0.500 0.500 0.000
0.096 0.380 0.716
0.337 0.620 0.716
0.663 0.380 0.284
0.904 0.620 0.284
```

Values from the calculation:
Space group: Immm (71)
DFT total energy: -2.9753 eV/atom
Energy relative to the elements: -0.15 eV per atom
Magnetization: 0.000 μB/f.u.

=====

The following is a DFT calculation (PBE) of a relaxed Ho11Al9Zn4 crystal.

Structure (POSCAR):
```
Ho11Al9Zn4
1.0
7.031 -10.570 0.000
7.031 10.570 0.000
0.000 0.000 3.603
Ho Al Zn
11 9 4
Direct
0.000 0.000 0.000
0.057 0.408 0.000
0.162 0.838 0.000
0.299 0.299 0.000
0.367 0.633 0.000
0.408 0.057 0.000
0.592 0.943 0.000
0.633 0.367 0.000
0.701 0.701 0.000
0.838 0.162 0.000
0.943 0.592 0.000
0.073 0.216 0.500
0.163 0.631 0.500
0.216 0.073 0.500
0.369 0.837 0.500
0.500 0.500 0.500
0.631 0.163 0.500
0.784 0.927 0.500
0.837 0.369 0.500
0.927 0.784 0.500
0.246 0.448 0.500
0.448 0.246 0.500
0.552 0.754 0.500
0.754 0.552 0.500
```

Values from the calculation:
Space group: Cmmm (65)
DFT total energy: -4.0860 eV/atom
Energy relative to the elements: -0.37 eV per atom
Magnetization: 0.000 μB/f.u.

=====

The following is a DFT calculation (PBE) of a relaxed HoAlZn crystal.

Structure (POSCAR):
```
HoAlZn
1.0
0.000 3.208 3.208
3.208 0.000 3.208
3.208 3.208 0.000
Ho Al Zn
1 1 1
Direct
0.000 0.000 0.000
0.500 0.500 0.500
0.250 0.250 0.250
```

Values from the calculation:
Space group: F-43m (216)
DFT total energy: -3.5216 eV/atom
Energy relative to the elements: -0.32 eV per atom
Magnetization: 0.000 μB/f.u.

=====

Please write out number 1 again, unchanged.
The following is a DFT calculation (PBE) of a relaxed HoAlZn crystal.

Structure (POSCAR):
```
HoAlZn
1.0
4.484 0.000 0.000
-2.242 3.883 0.000
0.000 0.000 3.517
Ho Al Zn
1 1 1
Direct
0.000 0.000 0.000
0.667 0.333 0.500
0.333 0.667 0.500
```

Values from the calculation:
Space group: P-6m2 (187)
DFT total energy: -3.6579 eV/atom
Energy relative to the elements: -0.46 eV per atom
Magnetization: 0.000 μB/f.u.